Below is a geometry-optimized YCrAu2 structure, with properties calculated at the PBE level.

```
4
Lattice="3.5088 0.0000 0.0000 0.0000 3.5088 0.0000 0.0000 0.0000 6.5837" Properties=species:S:1:pos:R:3 pbc="T T T"
Y 0.0000 0.0000 0.0000
Cr 0.0000 0.0000 3.2919
Au 1.7544 1.7544 1.8008
Au 1.7544 1.7544 4.7830
```

Computed properties:
VASP energy = -5.976 eV/atom